BaTiTe2 after structural relaxation, computed with PBE-GGA.

Computed properties:
N(E_F) in states/eV per atom: 0.76
E in eV/atom: -4.639
ΔE to the lowest computed polymorph in eV per atom: 0.290
Crystal system: trigonal
ΔE_f (raw) in meV/atom: -613.8

Cell lengths 4.0707, 4.0707, 30.3242 Å; angles 90.00, 90.00, 120.00 degrees
Space group R-3m (No. 166, hexagonal axes)
Asymmetric unit:
Ba: 0.0000 0.0000 0.0000 x3
Ti: 0.0000 0.0000 0.5000 x3
Te: 0.0000 0.0000 0.1138 x6